Density functional theory data (PBE) for a relaxed ErAuSO crystal.

abc: 5.5467 9.2415 5.6673
angles: 90.00 90.00 90.00
Space group Pca2_1 (No. 29)
Unique sites:
Er: 0.0139 0.1121 0.0000 [4 per cell]
Au: 0.2183 0.6385 0.8396 [4 per cell]
S: 0.0912 0.3367 0.6205 [4 per cell]
O: 0.2474 0.9938 0.2555 [4 per cell]

Output
ΔE to the lowest computed polymorph: 0.089 eV per atom
Crystal system: orthorhombic
E_tot: -0.22496 Ha/atom

---

Density functional theory data (PBE) for a relaxed ErAuSO crystal.

abc: 4.0763 6.3255 6.3065
angles: 90.00 90.00 90.00
Space group Pmc2_1 (No. 26)
Unique sites:
Er: 0.0000 0.1935 0.0000 [2 per cell]
Au: 0.5000 0.2907 0.6242 [2 per cell]
S: 0.5000 0.3469 0.2266 [2 per cell]
O: 0.0000 0.0773 0.6846 [2 per cell]

Output
ΔE to the lowest computed polymorph: 0.500 eV per atom
Crystal system: orthorhombic
E_tot: -0.20987 Ha/atom

---

Density functional theory data (PBE) for a relaxed ErAuSO crystal.

abc: 5.4621 5.4621 9.1280
angles: 90.00 90.00 90.00
Space group P4bm (No. 100)
Unique sites:
Er: 0.0000 0.0000 0.0000 [2 per cell]
Er: 0.0000 0.5000 0.2432 [2 per cell]
Au: 0.1815 0.3185 0.6147 [4 per cell]
S: 0.0000 0.0000 0.4081 [2 per cell]
S: 0.0000 0.5000 0.8443 [2 per cell]
O: 0.2492 0.2508 0.1227 [4 per cell]

Output
ΔE to the lowest computed polymorph: 0.130 eV per atom
Crystal system: tetragonal
E_tot: -0.22344 Ha/atom

---

Density functional theory data (PBE) for a relaxed ErAuSO crystal.

abc: 5.4716 5.4716 9.0899
angles: 90.00 90.00 90.00
Space group P-42m (No. 111)
Unique sites:
Er: 0.2500 0.2500 0.1217 [4 per cell]
Au: 0.0000 0.0000 0.5000 [1 per cell]
Au: 0.0000 0.5000 0.5000 [2 per cell]
Au: 0.5000 0.5000 0.5000 [1 per cell]
S: 0.2488 0.2488 0.7182 [4 per cell]
O: 0.0000 0.0000 0.0000 [1 per cell]
O: 0.0000 0.5000 0.0000 [2 per cell]
O: 0.5000 0.5000 0.0000 [1 per cell]

Output
ΔE to the lowest computed polymorph: 0.180 eV per atom
Crystal system: tetragonal
E_tot: -0.22163 Ha/atom

---

Density functional theory data (PBE) for a relaxed ErAuSO crystal.

abc: 8.3436 5.7605 5.7098
angles: 90.00 91.07 90.00
Space group P2_1/c (No. 14)
Unique sites:
Er: 0.1164 0.0154 0.2514 [4 per cell]
Au: 0.4900 0.6881 0.1869 [4 per cell]
S: 0.2837 0.0552 0.8137 [4 per cell]
O: 0.0179 0.7487 0.0006 [4 per cell]

Output
ΔE to the lowest computed polymorph: 0.092 eV per atom
Crystal system: monoclinic
E_tot: -0.22484 Ha/atom

---

Density functional theory data (PBE) for a relaxed ErSnAuO3 crystal.

abc: 3.5156 12.9933 8.3206
angles: 90.00 90.00 90.00
Space group Cmcm (No. 63)
Unique sites:
Er: 0.0000 0.0000 0.0000 [4 per cell]
Sn: 0.0000 0.3255 0.2500 [4 per cell]
Au: 0.0000 0.3512 0.7500 [4 per cell]
O: 0.0000 0.0710 0.7500 [4 per cell]
O: 0.0000 0.3899 0.5019 [8 per cell]

Output
Crystal system: orthorhombic
E_tot: -0.23223 Ha/atom

---

Density functional theory data (PBE) for a relaxed TbErAu2O4 crystal.

abc: 3.5359 3.5359 12.1336
angles: 90.00 90.00 120.00
Space group P-3m1 (No. 164)
Unique sites:
Tb: 0.0000 0.0000 0.0000 [1 per cell]
Er: 0.0000 0.0000 0.5000 [1 per cell]
Au: 0.3333 0.6667 0.2518 [2 per cell]
O: 0.3333 0.6667 0.0838 [2 per cell]
O: 0.3333 0.6667 0.4199 [2 per cell]

Output
Crystal system: trigonal
E_tot: -0.24591 Ha/atom

---

Density functional theory data (PBE) for a relaxed ErTmAu2O4 crystal.

abc: 3.4803 3.4803 12.1545
angles: 90.00 90.00 120.00
Space group P-3m1 (No. 164)
Unique sites:
Er: 0.0000 0.0000 0.0000 [1 per cell]
Tm: 0.0000 0.0000 0.5000 [1 per cell]
Au: 0.3333 0.6667 0.2507 [2 per cell]
O: 0.3333 0.6667 0.0826 [2 per cell]
O: 0.3333 0.6667 0.4188 [2 per cell]

Output
Crystal system: trigonal
E_tot: -0.24637 Ha/atom